1.
Below is a relaxed structure of K2HgSO4, with properties calculated at the PBE-GGA level.

Lattice parameters (Å, degrees): 6.141 6.141 6.141 112.81 107.83 107.83
Atoms (fractional coordinates):
K1 0.500 0.750 0.250
O1 0.785 0.572 0.471
O2 0.899 0.213 0.428
Hg1 0.500 0.250 0.750
S1 0.000 0.500 0.500
O3 0.215 0.686 0.787
K2 0.000 0.000 0.000
O4 0.101 0.529 0.314

---

2.
Below is a relaxed structure of K2HgSO6, with properties calculated at the PBE-GGA level.

Lattice parameters (Å, degrees): 5.743 6.007 6.007 120.00 90.00 90.00
Atoms (fractional coordinates):
K1 0.145 0.333 0.667
O1 0.169 0.869 0.738
K2 0.855 0.667 0.333
O2 0.169 0.869 0.131
O3 0.831 0.738 0.869
O4 0.169 0.262 0.131
S1 0.000 0.000 0.000
O5 0.831 0.131 0.869
Hg1 0.500 0.000 0.000
O6 0.831 0.131 0.262

---

Formation energy from raw total energies readings, ordered: -1.52, -0.84 eV/atom